1.
{
  "formula": "Na3Cd13",
  "functional": "PBE",
  "state": "relaxed",
  "ef_ev_per_atom": -0.03,
  "cell": [[6.7971, 0.0242, 0.0000], [-0.0001, 6.7971, 0.0000], [0.0000, 0.0000, 8.0961]],
  "species": ["Cd", "Cd", "Cd", "Cd", "Cd", "Cd", "Cd", "Cd", "Cd", "Cd", "Cd", "Cd", "Cd", "Na", "Na", "Na"],
  "fractional_positions": [[0.5034, 0.4966, 0.2707], [0.9979, 0.5056, 0.7472], [0.4944, 0.0021, 0.2528], [0.5034, 0.4966, 0.7293], [0.2460, 0.7540, 0.5000], [0.7330, 0.7419, 0.0000], [0.2364, 0.2447, 0.5000], [0.2581, 0.2670, 0.0000], [0.7553, 0.7636, 0.5000], [0.7621, 0.2379, 0.5000], [0.2671, 0.7329, 0.0000], [0.4944, 0.0021, 0.7472], [0.9979, 0.5056, 0.2528], [0.7402, 0.2598, 0.0000], [0.0051, 0.9949, 0.2359], [0.0051, 0.9949, 0.7641]]
}


2.
{
  "formula": "NaCd4",
  "functional": "PBE",
  "state": "relaxed",
  "ef_ev_per_atom": -0.05,
  "e_above_lowest_polymorph_mev_per_atom": 0,
  "cell": [[-1.0205, -4.7125, 0.5918], [6.2838, -1.2325, 1.0215], [-0.4704, 3.4993, 7.1159]],
  "species": ["Cd", "Cd", "Cd", "Cd", "Cd", "Cd", "Cd", "Cd", "Na", "Na"],
  "fractional_positions": [[0.3815, 0.7500, 0.7630], [0.8043, 0.4999, 0.6087], [0.0000, 0.0000, 0.0000], [0.8043, 0.0001, 0.6087], [0.1957, 0.9999, 0.3913], [0.1957, 0.5001, 0.3913], [0.0000, 0.5000, 0.0000], [0.6185, 0.2500, 0.2370], [0.4008, 0.2500, 0.8016], [0.5992, 0.7500, 0.1984]]
}


3.
{
  "formula": "NaCd4",
  "functional": "PBE",
  "state": "relaxed",
  "ef_ev_per_atom": 0.42,
  "e_above_lowest_polymorph_mev_per_atom": 474,
  "cell": [[-0.7845, 2.4367, 5.0878], [-4.8797, -2.8705, 0.6223], [2.8305, -4.2733, 2.4830]],
  "species": ["Cd", "Cd", "Cd", "Cd", "Na"],
  "fractional_positions": [[0.5000, 0.5000, 0.0000], [0.0000, 0.5000, 0.5000], [0.5000, 0.0000, 0.5000], [0.0000, 0.0000, 0.0000], [0.5000, 0.5000, 0.5000]]
}


4.
{
  "formula": "NaCd5",
  "functional": "PBE",
  "state": "relaxed",
  "ef_ev_per_atom": -0.04,
  "e_above_lowest_polymorph_mev_per_atom": 0,
  "cell": [[4.6418, 0.0000, 0.0000], [0.0000, 4.5685, 0.0000], [0.0000, -2.2842, 6.5554]],
  "species": ["Na", "Cd", "Cd", "Cd", "Cd", "Cd"],
  "fractional_positions": [[0.0000, 0.0000, 0.0000], [0.5000, 0.1660, 0.3321], [0.0000, 0.3307, 0.6615], [0.0000, 0.6693, 0.3385], [0.5000, 0.8340, 0.6679], [0.5000, 0.5000, 0.0000]]
}


5.
{
  "formula": "Na5Cd3",
  "functional": "PBE",
  "state": "relaxed",
  "ef_ev_per_atom": -0.01,
  "e_above_lowest_polymorph_mev_per_atom": 46,
  "cell": [[-3.9156, 4.9339, 1.1011], [-3.4971, 3.1320, -7.9030], [-8.5534, -2.9405, 1.3262]],
  "species": ["Cd", "Cd", "Cd", "Cd", "Cd", "Cd", "Na", "Na", "Na", "Na", "Na", "Na", "Na", "Na", "Na", "Na"],
  "fractional_positions": [[0.6936, 0.4901, 0.3583], [0.7081, 0.9901, 0.8583], [0.3430, 0.3139, 0.0000], [0.8164, 0.4901, 0.6417], [0.5930, 0.8139, 0.5000], [0.3018, 0.9901, 0.1417], [0.5950, 0.2269, 0.6008], [0.2179, 0.5751, 0.2827], [0.0575, 0.8850, 0.5000], [0.1743, 0.0751, 0.7827], [0.8273, 0.7269, 0.1008], [0.4458, 0.7269, 0.8992], [0.8075, 0.3850, 0.0000], [0.7506, 0.0751, 0.2173], [0.1781, 0.2269, 0.3992], [0.2070, 0.5751, 0.7173]]
}


6.
{
  "formula": "Na3Cd11",
  "functional": "PBE",
  "state": "relaxed",
  "ef_ev_per_atom": -0.07,
  "cell": [[0.3246, 0.1542, 4.9462], [-6.6054, -5.3433, 3.0863], [3.3352, -8.0155, 2.5172]],
  "species": ["Cd", "Cd", "Cd", "Cd", "Cd", "Cd", "Cd", "Cd", "Cd", "Cd", "Cd", "Na", "Na", "Na"],
  "fractional_positions": [[0.1327, 0.5876, 0.1469], [0.1327, 0.1469, 0.5876], [0.3370, 0.3023, 0.0237], [0.6630, 0.6977, 0.9763], [0.8673, 0.8531, 0.4124], [0.5000, 0.6696, 0.3304], [0.3370, 0.0237, 0.3023], [0.0000, 0.5000, 0.5000], [0.8673, 0.4124, 0.8531], [0.5000, 0.3304, 0.6696], [0.6630, 0.9763, 0.6977], [0.0000, 0.0000, 0.0000], [0.7088, 0.2912, 0.2912], [0.2912, 0.7088, 0.7088]]
}


7.
{
  "formula": "Na4Cd",
  "functional": "PBE",
  "state": "relaxed",
  "ef_ev_per_atom": -0.03,
  "e_above_lowest_polymorph_mev_per_atom": 0,
  "cell": [[3.7329, 0.0000, 0.0000], [1.8664, 6.5353, -0.6010], [1.8664, 0.5886, 6.5290]],
  "species": ["Na", "Na", "Na", "Na", "Cd"],
  "fractional_positions": [[0.7776, 0.1375, 0.3073], [0.4153, 0.3068, 0.8626], [0.2224, 0.8625, 0.6927], [0.5847, 0.6932, 0.1374], [0.0000, 0.5000, 0.5000]]
}


8.
{
  "formula": "NaCd8",
  "functional": "PBE",
  "state": "relaxed",
  "ef_ev_per_atom": -0.03,
  "cell": [[-1.4425, 3.5340, -2.6139], [1.6397, -1.2939, -6.7483], [-6.6073, -1.2636, -2.1560]],
  "species": ["Cd", "Cd", "Cd", "Cd", "Cd", "Cd", "Cd", "Cd", "Na"],
  "fractional_positions": [[0.0000, 0.3346, 0.6654], [0.3346, 0.6654, 0.6654], [0.6676, 0.0000, 0.6649], [0.3324, 0.0000, 0.3351], [0.0000, 0.6654, 0.3346], [0.3324, 0.3351, 0.0000], [0.6676, 0.6649, 0.0000], [0.6654, 0.3346, 0.3346], [0.0000, 0.0000, 0.0000]]
}


9.
{
  "formula": "Na2NbCd",
  "functional": "PBE",
  "state": "relaxed",
  "ef_ev_per_atom": 0.94,
  "cell": [[-3.9232, 1.0773, -7.5264], [3.4164, -7.3163, -2.8281], [-2.6264, -4.6226, -4.1554]],
  "species": ["Cd", "Cd", "Nb", "Nb", "Na", "Na", "Na", "Na"],
  "fractional_positions": [[0.0000, 0.0000, 0.0000], [0.7500, 0.2500, 0.5000], [0.5000, 0.5000, 0.0000], [0.2500, 0.7500, 0.5000], [0.6469, 0.1250, 0.2500], [0.3750, 0.3531, 0.7500], [0.1031, 0.6250, 0.2500], [0.8750, 0.8969, 0.7500]]
}


10.
{
  "formula": "NaNbCd",
  "functional": "PBE",
  "state": "relaxed",
  "ef_ev_per_atom": 0.74,
  "e_above_lowest_polymorph_mev_per_atom": 641,
  "cell": [[0.9609, 2.3551, 4.2965], [-4.1785, 1.0304, -2.5315], [-2.8209, -4.2141, 2.9408]],
  "species": ["Na", "Na", "Nb", "Nb", "Cd", "Cd"],
  "fractional_positions": [[0.0000, 0.0000, 0.5000], [0.0000, 0.0000, 0.0000], [0.6667, 0.3333, 0.7500], [0.3333, 0.6667, 0.2500], [0.3333, 0.6667, 0.7500], [0.6667, 0.3333, 0.2500]]
}


11.
{
  "formula": "NaNbCd",
  "functional": "PBE",
  "state": "relaxed",
  "ef_ev_per_atom": 1.15,
  "e_above_lowest_polymorph_mev_per_atom": 1053,
  "cell": [[0.0000, 3.3300, 3.3300], [3.3300, 0.0000, 3.3300], [3.3300, 3.3300, 0.0000]],
  "species": ["Nb", "Na", "Cd"],
  "fractional_positions": [[0.7500, 0.7500, 0.7500], [0.2500, 0.2500, 0.2500], [0.0000, 0.0000, 0.0000]]
}


12.
{
  "formula": "NaNbCd",
  "functional": "PBE",
  "state": "relaxed",
  "ef_ev_per_atom": 0.23,
  "e_above_lowest_polymorph_mev_per_atom": 132,
  "cell": [[3.4524, -0.0001, -0.0050], [0.0004, 3.4556, 0.0003], [0.0198, -0.0004, 11.9355]],
  "species": ["Nb", "Nb", "Cd", "Cd", "Na", "Na"],
  "fractional_positions": [[0.7115, 0.8615, 0.2680], [0.2116, 0.3615, 0.1673], [0.2110, 0.3614, 0.4219], [0.2112, 0.3614, 0.7919], [0.7113, 0.8614, 0.6044], [0.7116, 0.8614, 0.9717]]
}


For the records above, the corresponding raw total energy values read -16.41 -10.50 -2.88 -6.16 -18.90 -15.04 -6.33 -8.88 -19.74 -20.19 -8.86 -23.24 eV for the cell shown.